VASP calculation (PBE-GGA) on crystalline In2TeRuF at its relaxed geometry.

Lattice parameters (Å, degrees): 5.3434 5.3434 4.1016 90.00 90.00 90.00
Atoms (fractional coordinates):
In  0.0000  0.5000  0.0000
In  0.5000  0.0000  0.0000
Te  0.0000  0.0000  0.5000
Ru  0.5000  0.5000  0.0000
F  0.5000  0.5000  0.5000

Results
space-group type: No. 123
E_form (uncorrected): -247.3 meV/atom

***

VASP calculation (PBE-GGA) on crystalline TlHg6Bi at its relaxed geometry.

Lattice parameters (Å, degrees): 5.6564 6.0035 7.6827 67.69 87.39 69.06
Atoms (fractional coordinates):
Tl  0.0000  0.0000  0.0000
Hg  0.2564  0.4950  0.3877
Hg  0.2613  0.4802  0.8733
Hg  0.4908  0.0270  0.2539
Hg  0.5092  0.9730  0.7461
Hg  0.7387  0.5198  0.1267
Hg  0.7436  0.5050  0.6123
Bi  0.0000  0.0000  0.5000

Results
space-group type: No. 2
calculated formation energy: 0.0312 eV/atom

***

VASP calculation (PBE-GGA) on crystalline Pr3Nd8Er3 at its relaxed geometry.

Lattice parameters (Å, degrees): 9.8813 9.8813 9.8813 145.98 112.60 77.69
Atoms (fractional coordinates):
Pr  0.0000  0.0000  0.0000
Pr  0.1800  0.6800  0.5000
Pr  0.8200  0.3200  0.5000
Nd  0.1195  0.2792  0.8403
Nd  0.2347  0.8972  0.3376
Nd  0.4389  0.2792  0.1597
Nd  0.4404  0.1028  0.3376
Nd  0.5596  0.8972  0.6624
Nd  0.5611  0.7208  0.8403
Nd  0.7653  0.1028  0.6624
Nd  0.8805  0.7208  0.1597
Er  0.2010  0.5000  0.7010
Er  0.5000  0.5000  0.0000
Er  0.7990  0.5000  0.2990

Results
space-group type: No. 71
calculated formation energy: 0.0961 eV/atom

***

| no. | DOS(E_F) (states/eV per atom) | theoretical density (g cm⁻³) |
| --- | --- | --- |
| 1 | 0.72 | 6.77 |
| 2 | 0.32 | 11.98 |
| 3 | 1.44 | 7.08 |